1.
An optimized crystal structure of K2OsW, computed with GGA-PBE.

Computed properties:
- Offset from the most stable computed form: 2.967 eV/f.u.
- ΔE_f: 1.5565 eV/atom

abc: 2.6945 2.6945 11.8977
angles: 90.00 90.00 90.00
Positions (direct):
1 K 0.0000 0.0000 0.2368
2 K 0.0000 0.0000 0.7632
3 Os 0.5000 0.5000 0.0000
4 W 0.5000 0.5000 0.5000

2.
An optimized crystal structure of PaIrPtRh, computed with GGA-PBE.

Computed properties:
- ΔE_f: -0.9519 eV/atom

abc: 3.9880 4.1516 4.1703
angles: 90.00 90.00 90.00
Positions (direct):
1 Pa 0.0000 0.0000 0.0000
2 Ir 0.5000 0.0000 0.5000
3 Pt 0.0000 0.5000 0.5000
4 Rh 0.5000 0.5000 0.0000

3.
An optimized crystal structure of ErTl3Sb2O9, computed with GGA-PBE.

Computed properties:
- Raw formation energy: -1379 meV/atom

abc: 5.8498 5.8498 7.2402
angles: 90.00 90.00 120.00
Positions (direct):
1 Er 0.0000 0.0000 0.0000
2 Tl 0.0000 0.0000 0.5000
3 Tl 0.3333 0.6667 0.1587
4 Tl 0.6667 0.3333 0.8413
5 Sb 0.3333 0.6667 0.6613
6 Sb 0.6667 0.3333 0.3387
7 O 0.0000 0.5000 0.5000
8 O 0.1717 0.3435 0.8126
9 O 0.1717 0.8283 0.8126
10 O 0.3435 0.1717 0.1874
11 O 0.5000 0.0000 0.5000
12 O 0.5000 0.5000 0.5000
13 O 0.6565 0.8283 0.8126
14 O 0.8283 0.1717 0.1874
15 O 0.8283 0.6565 0.1874

4.
An optimized crystal structure of LaThAg, computed with GGA-PBE.

Computed properties:
- Offset from the most stable computed form: 0.000 eV/f.u.
- ΔE_f: -0.0954 eV/atom

abc: 8.7555 8.7555 5.6867
angles: 90.00 90.00 155.73
Positions (direct):
1 La 0.0860 0.9140 0.7500
2 La 0.9140 0.0860 0.2500
3 Th 0.2264 0.7736 0.2500
4 Th 0.7736 0.2264 0.7500
5 Ag 0.4280 0.5720 0.7500
6 Ag 0.5720 0.4280 0.2500

5.
An optimized crystal structure of Ca2LaMgC, computed with GGA-PBE.

Computed properties:
- ΔE_f: 0.0690 eV/atom

abc: 5.3428 5.3428 4.8958
angles: 90.00 90.00 90.00
Positions (direct):
1 Ca 0.0000 0.5000 0.0000
2 Ca 0.5000 0.0000 0.0000
3 La 0.0000 0.0000 0.5000
4 Mg 0.5000 0.5000 0.5000
5 C 0.0000 0.0000 0.0000

6.
An optimized crystal structure of Al4CdO7, computed with GGA-PBE.

Computed properties:
- Offset from the most stable computed form: 1.199 eV/f.u.
- Raw formation energy: -2592 meV/atom

abc: 13.1730 5.3950 5.1288
angles: 90.00 90.00 90.00
Positions (direct):
1 Al 0.1244 0.1689 0.0000
2 Al 0.2489 0.3409 0.4859
3 Al 0.2511 0.6591 0.9859
4 Al 0.3756 0.8311 0.5000
5 Al 0.6244 0.8311 0.5000
6 Al 0.7489 0.6591 0.9859
7 Al 0.7511 0.3409 0.4859
8 Al 0.8756 0.1689 0.0000
9 Cd 0.0000 0.6549 0.8605
10 Cd 0.5000 0.3451 0.3605
11 O 0.0000 0.2555 0.8983
12 O 0.1406 0.8472 0.9374
13 O 0.1442 0.2383 0.3224
14 O 0.2135 0.3703 0.8260
15 O 0.2865 0.6297 0.3260
16 O 0.3558 0.7617 0.8224
17 O 0.3594 0.1528 0.4374
18 O 0.5000 0.7445 0.3983
19 O 0.6406 0.1528 0.4374
20 O 0.6442 0.7617 0.8224
21 O 0.7135 0.6297 0.3260
22 O 0.7865 0.3703 0.8260
23 O 0.8558 0.2383 0.3224
24 O 0.8594 0.8472 0.9374

7.
An optimized crystal structure of GaAgAs3, computed with GGA-PBE.

Computed properties:
- Offset from the most stable computed form: 0.000 eV/f.u.
- ΔE_f: 0.7786 eV/atom

abc: 4.9225 4.9225 4.9225
angles: 90.00 90.00 90.00
Positions (direct):
1 Ga 0.0000 0.0000 0.0000
2 Ag 0.5000 0.5000 0.5000
3 As 0.0000 0.0000 0.5000
4 As 0.0000 0.5000 0.0000
5 As 0.5000 0.0000 0.0000

8.
An optimized crystal structure of CaSb2AsPd, computed with GGA-PBE.

Computed properties:
- Raw formation energy: -100 meV/atom

abc: 5.4414 5.4414 4.7451
angles: 90.00 90.00 90.00
Positions (direct):
1 Ca 0.0000 0.0000 0.0000
2 Sb 0.0000 0.5000 0.5000
3 Sb 0.5000 0.0000 0.5000
4 As 0.5000 0.5000 0.0000
5 Pd 0.5000 0.5000 0.5000

These records have size of the total moment values of 0.66; 0.00; 0.00; 0.00; 0.47; 0.12; 0.00; 0.00 μB/f.u., in the order they appear.